Crystalline SrScGa3 at its relaxed geometry, computed with GGA-PBE.

Cell: 5.2228 5.2228 5.2228 Å, 90.00 90.00 90.00°
Last column: nearest neighbours and their distance in Å.
Element x y z (fractional)
Sc: 0.0000 0.0000 0.0000  6 Ga 2.61
Ga: 0.0000 0.0000 0.5000  2 Sc 2.61
Ga: 0.0000 0.5000 0.0000  2 Sc 2.61
Ga: 0.5000 0.0000 0.0000  2 Sc 2.61
Sr: 0.5000 0.5000 0.5000  12 Ga 3.69

Calculated values
Uncorrected energy, eV/cell: -17.27
DFT formation energy, meV/atom: -34
Energy above the lowest structure with this stoichiometry, kJ per mole of atoms: 0.0